A plane-wave DFT calculation with PBE with a Hubbard U was carried out for a geometry-optimized Mg2Nb2CrO8 structure.

* magnetic moment: 4.0 μB/f.u.
* space group: Cc, No. 9
* total energy: -7.912 eV per atom

The structure in POSCAR format:
```
Mg2Nb2CrO8
1.0
9.7109 -3.0394 0.0000
9.7109 3.0394 0.0000
-0.0641 0.0000 5.2073
Mg Nb Cr O
4 4 2 16
Cartesian
9.6788 2.1808 2.6037
10.5223 0.8544 0.0330
10.4902 -0.8544 2.6367
9.7109 -2.1808 0.0000
7.4890 1.0052 5.1688
12.6576 2.0178 2.6830
7.5211 -1.0052 2.5651
12.6897 -2.0178 0.0794
14.9212 0.9402 5.1956
14.9533 -0.9402 2.5919
3.7757 0.6463 3.5610
8.9730 2.1608 0.6976
11.2529 2.3918 4.1566
6.6600 0.6891 1.6939
3.8078 -0.6463 0.9573
8.8786 0.6260 3.6785
11.2277 0.8818 1.9322
6.6279 -0.6891 4.2976
8.9107 -0.6260 1.0749
13.8077 0.7721 3.4710
16.1131 0.8439 1.6942
11.1957 -0.8818 4.5359
8.9410 -2.1608 3.3012
13.8398 -0.7721 0.8673
16.0810 -0.8439 4.2978
11.2850 -2.3918 1.5529
```